Here is a relaxed structure of Sr5Re from Alexandria. Energies are from PBE-GGA.

Output
**Total moment**: 3.01 μB/cell
**Volume**: 465.32 Å³ per cell
**Energy relative to the elements**: 0.665 eV/atom

```
data_Sr5Re
_cell_length_a 5.3659
_cell_length_b 15.6579
_cell_length_c 5.5383
_cell_angle_alpha 90.00
_cell_angle_beta 90.00
_cell_angle_gamma 90.00
_space_group_name_H-M_alt 'C m m m'
_space_group_IT_number 65
_space_group_name_Hall '-C 2 2'
loop_
_atom_site_label
_atom_site_type_symbol
_atom_site_fract_x
_atom_site_fract_y
_atom_site_fract_z
_atom_site_occupancy
Sr1 Sr 0.0000 0.0000 0.0000 1
Sr2 Sr 0.0000 0.1411 0.5000 1
Sr3 Sr 0.0000 0.3526 0.0000 1
Re1 Re 0.0000 0.5000 0.5000 1
```

---

Here is a relaxed structure of Sr2PtSe from Alexandria. Energies are from PBE-GGA.

Output
**Total moment**: 0.00 μB/cell
**Volume**: 364.03 Å³ per cell
**E_form (uncorrected)**: -513 kJ/mol of formula units

```
data_Sr2PtSe
_cell_length_a 4.3971
_cell_length_b 4.3971
_cell_length_c 21.7424
_cell_angle_alpha 90.00
_cell_angle_beta 90.00
_cell_angle_gamma 120.00
_space_group_name_H-M_alt 'R -3 m'
_space_group_IT_number 166
_space_group_name_Hall '-R 3 2"'
loop_
_atom_site_label
_atom_site_type_symbol
_atom_site_fract_x
_atom_site_fract_y
_atom_site_fract_z
_atom_site_occupancy
Sr1 Sr 0.0000 0.0000 0.2492 1
Pt1 Pt 0.0000 0.0000 0.5000 1
Se1 Se 0.0000 0.0000 0.0000 1
```

---

Here is a relaxed structure of AcHoPdSe3 from Alexandria. Energies are from PBE-GGA.

Output
**Total moment**: 0.00 μB/cell
**Volume**: 307.31 Å³ per cell
**E_form (uncorrected)**: -943 kJ/mol of formula units

```
data_AcHoPdSe3
_cell_length_a 8.1870
_cell_length_b 4.1424
_cell_length_c 9.3437
_cell_angle_alpha 90.00
_cell_angle_beta 104.12
_cell_angle_gamma 90.00
_space_group_name_H-M_alt 'P 1 21/m 1'
_space_group_IT_number 11
loop_
_space_group_symop_operation_xyz
'x,y,z'
'-x,-y,-z'
'-x,y+1/2,-z'
'x,-y+1/2,z'
loop_
_atom_site_label
_atom_site_type_symbol
_atom_site_fract_x
_atom_site_fract_y
_atom_site_fract_z
_atom_site_occupancy
Ac1 Ac 0.1968 0.2500 0.2677 1
Ho1 Ho 0.3154 0.7500 0.8258 1
Pd1 Pd 0.0917 0.2500 0.6003 1
Se1 Se 0.0906 0.2500 0.8753 1
Se2 Se 0.2660 0.7500 0.5221 1
Se3 Se 0.4293 0.7500 0.1499 1
```

---

Here is a relaxed structure of BaFe2Re from Alexandria. Energies are from PBE-GGA.

Output
**Total moment**: 19.83 μB/cell
**Volume**: 291.40 Å³ per cell
**Energy relative to the elements**: 1.352 eV/atom

```
data_BaFe2Re
_cell_length_a 6.6298
_cell_length_b 6.6298
_cell_length_c 6.6298
_cell_angle_alpha 90.00
_cell_angle_beta 90.00
_cell_angle_gamma 90.00
_space_group_name_H-M_alt 'F m -3 m'
_space_group_IT_number 225
_space_group_name_Hall '-F 4 2 3'
loop_
_atom_site_label
_atom_site_type_symbol
_atom_site_fract_x
_atom_site_fract_y
_atom_site_fract_z
_atom_site_occupancy
Ba1 Ba 0.0000 0.0000 0.0000 1
Fe1 Fe 0.2500 0.2500 0.2500 1
Re1 Re 0.0000 0.0000 0.5000 1
```

---

Here is a relaxed structure of TbPm2SmEr6 from Alexandria. Energies are from PBE-GGA.

Output
**Total moment**: 0.00 μB/cell
**Volume**: 1285.32 Å³ per cell
**Energy relative to the elements**: 0.119 eV/atom

```
data_TbPm2SmEr6
_cell_length_a 8.9956
_cell_length_b 14.9865
_cell_length_c 9.6484
_cell_angle_alpha 90.00
_cell_angle_beta 98.83
_cell_angle_gamma 90.00
_space_group_name_H-M_alt 'C 1 2/c 1'
_space_group_IT_number 15
loop_
_space_group_symop_operation_xyz
'x,y,z'
'-x,-y,-z'
'-x,y,-z+1/2'
'x,-y,z+1/2'
'x+1/2,y+1/2,z'
'-x+1/2,-y+1/2,-z'
'-x+1/2,y+1/2,-z+1/2'
'x+1/2,-y+1/2,z+1/2'
loop_
_atom_site_label
_atom_site_type_symbol
_atom_site_fract_x
_atom_site_fract_y
_atom_site_fract_z
_atom_site_occupancy
Tb1 Tb 0.0000 0.0928 0.2500 1
Pm1 Pm 0.2447 0.4483 0.0428 1
Sm1 Sm 0.0000 0.4812 0.7500 1
Er1 Er 0.0671 0.3091 0.4426 1
Er2 Er 0.1001 0.1063 0.6193 1
Er3 Er 0.2018 0.2754 0.8146 1
```

---

Here is a relaxed structure of LaYHg2 from Alexandria. Energies are from PBE-GGA.

Output
**Total moment**: 1.51 μB/cell
**Volume**: 363.41 Å³ per cell
**Energy relative to the elements**: -0.340 eV/atom

```
data_LaYHg2
_cell_length_a 3.8621
_cell_length_b 3.8621
_cell_length_c 28.1333
_cell_angle_alpha 90.00
_cell_angle_beta 90.00
_cell_angle_gamma 120.00
_space_group_name_H-M_alt 'R -3 m'
_space_group_IT_number 166
_space_group_name_Hall '-R 3 2"'
loop_
_atom_site_label
_atom_site_type_symbol
_atom_site_fract_x
_atom_site_fract_y
_atom_site_fract_z
_atom_site_occupancy
La1 La 0.0000 0.0000 0.0000 1
Y1 Y 0.0000 0.0000 0.5000 1
Hg1 Hg 0.0000 0.0000 0.2449 1
```